This record from Alexandria via LeMat-Bulk describes Ca2LaZn at its PBEsol-relaxed geometry. The functional is SCAN.

ΔH_f (0 K)	-0.0847	eV per atom
V	124.02	Å³ per cell

a b c (Å): 6.8256 6.8256 6.8256
angles (deg): 148.25 131.65 59.01
Last column: nearest neighbours and their distance in Å.
Sites, in units of the cell vectors:
Ca 0.2022 0.2022 0.0000  2 Zn 3.04
Ca 0.7978 0.7978 0.0000  2 Zn 3.04
La 0.5000 0.0000 0.5000  4 Zn 3.36, 4 Ca 3.69, 2 La 3.73
Zn 0.0000 0.5000 0.5000  4 Ca 3.04, 4 La 3.36